No. 1
## Pr4PuPb5 (PBE)

Data for a relaxed Pr4PuPb5 crystal.

Summary:
Space-group type: No. 123

Structure (POSCAR):
```
Pr4PuPb5
1.0
-3.4260 0.8860 0.6274
0.3904 -0.9324 3.4488
6.5773 21.7902 5.1467
Pu Pb Pr
1 5 4
Direct
0.0000 0.0000 0.0000 Pu
0.5000 0.5000 0.7017 Pb
0.5000 0.5000 0.9031 Pb
0.5000 0.5000 0.5000 Pb
0.5000 0.5000 0.0969 Pb
0.5000 0.5000 0.2983 Pb
0.0000 0.0000 0.1971 Pr
0.0000 0.0000 0.6010 Pr
0.0000 0.0000 0.8029 Pr
0.0000 0.0000 0.3990 Pr
```

***

No. 2
## PrPu3Pb4 (PBE)

Data for a relaxed PrPu3Pb4 crystal.

Summary:
Space-group type: No. 47

Structure (POSCAR):
```
PrPu3Pb4
1.0
4.5792 0.0000 0.0000
0.0000 5.0247 0.0000
0.0000 0.0000 10.0812
Pb Pr Pu
4 1 3
Direct
0.0000 0.5000 0.7455 Pb
0.0000 0.0000 0.0000 Pb
0.0000 0.0000 0.5000 Pb
0.0000 0.5000 0.2545 Pb
0.5000 0.5000 0.0000 Pr
0.5000 0.0000 0.7448 Pu
0.5000 0.5000 0.5000 Pu
0.5000 0.0000 0.2552 Pu
```

***

No. 3
## PrPuRuPb (PBE)

Data for a relaxed PrPuRuPb crystal.

Summary:
Space-group type: No. 99

Structure (POSCAR):
```
PrPuRuPb
1.0
3.3897 0.0000 0.0000
0.0000 3.3897 0.0000
0.0000 0.0000 8.8283
Pr Pu Ru Pb
1 1 1 1
Direct
0.5000 0.5000 0.7745 Pr
0.5000 0.5000 0.3743 Pu
0.0000 0.0000 0.5565 Ru
0.0000 0.0000 0.0794 Pb
```

***

Number 1: size of the total moment 0.592 μB/atom, D(E_F) 15.2 states/eV/f.u., VASP energy -56.5 eV per formula unit. Number 2: size of the total moment 0.826 μB/atom, D(E_F) 36.3 states/eV/f.u., VASP energy -64.1 eV per formula unit. Number 3: size of the total moment 1.224 μB/atom, D(E_F) 9.0 states/eV/f.u., VASP energy -32.9 eV per formula unit.